# 1
DFT (PBE) results for crystalline GeAsPb2Au6 at its relaxed geometry.

Summary:
energy of formation from the pure elements	0.02	eV per atom
space group	P-1

a b c (Å): 5.617 6.915 6.987
angles (deg): 82.80 66.32 66.05
Sites, in units of the cell vectors:
1 Ge 0.000 0.000 0.000
2 As 0.000 0.500 0.500
3 Pb 0.470 0.776 0.283
4 Pb 0.530 0.224 0.717
5 Au 0.005 0.214 0.275
6 Au 0.157 0.593 0.091
7 Au 0.495 0.785 0.726
8 Au 0.505 0.215 0.274
9 Au 0.843 0.407 0.909
10 Au 0.995 0.786 0.725



# 2
DFT (PBE) results for crystalline Rb2Ga2I7 at its relaxed geometry.

Summary:
space group	C2/m
ΔE_f (raw)	-0.803	eV per atom

a b c (Å): 9.356 9.356 7.223
angles (deg): 96.89 96.89 100.23
Sites, in units of the cell vectors:
1 Rb 0.209 0.791 0.000
2 Rb 0.791 0.209 0.000
3 Ga 0.282 0.282 0.580
4 Ga 0.718 0.718 0.420
5 I 0.102 0.407 0.776
6 I 0.124 0.124 0.270
7 I 0.407 0.102 0.776
8 I 0.500 0.500 0.500
9 I 0.593 0.898 0.224
10 I 0.876 0.876 0.730
11 I 0.898 0.593 0.224



# 3
DFT (PBE) results for crystalline AgMo2I2 at its relaxed geometry.

Summary:
space group	I4/mmm
ΔE_f (raw)	0.738	eV per atom

a b c (Å): 9.138 9.138 9.138
angles (deg): 156.70 156.70 33.19
Sites, in units of the cell vectors:
1 Ag 0.000 0.000 0.000
2 Mo 0.250 0.750 0.500
3 Mo 0.750 0.250 0.500
4 I 0.385 0.385 0.000
5 I 0.615 0.615 0.000



# 4
DFT (PBE) results for crystalline BaLaOs at its relaxed geometry.

Summary:
energy of formation from the pure elements	0.24	eV per atom
space group	I4mm

a b c (Å): 8.010 8.010 8.010
angles (deg): 153.67 153.67 37.58
Sites, in units of the cell vectors:
1 Ba 0.000 0.000 0.000
2 La 0.233 0.233 0.000
3 Os 0.636 0.636 0.000



# 5
DFT (PBE) results for crystalline Cs2RhI5 at its relaxed geometry.

Summary:
space group	P1
ΔE_f (raw)	-0.843	eV per atom

a b c (Å): 8.039 8.041 8.041
angles (deg): 116.01 116.02 97.01
Sites, in units of the cell vectors:
1 Cs 0.000 0.000 0.000
2 Cs 0.499 0.502 0.999
3 Rh 0.770 0.271 0.500
4 I 0.013 0.514 0.501
5 I 0.527 0.473 0.499
6 I 0.528 0.030 0.056
7 I 0.969 0.471 0.943
8 I 0.970 0.028 0.500



# 6
DFT (PBE) results for crystalline LiNdMg2Tl4 at its relaxed geometry.

Summary:
energy of formation from the pure elements	-0.21	eV per atom
space group	R-3m

a b c (Å): 9.250 9.250 9.250
angles (deg): 32.34 32.34 32.34
Sites, in units of the cell vectors:
1 Li 0.000 0.000 0.000
2 Nd 0.500 0.500 0.500
3 Mg 0.249 0.249 0.249
4 Mg 0.751 0.751 0.751
5 Tl 0.115 0.115 0.115
6 Tl 0.370 0.370 0.370
7 Tl 0.630 0.630 0.630
8 Tl 0.885 0.885 0.885



These records have uncorrected energy values of -3.618; -2.516; -4.785; -5.783; -2.944; -2.632 eV per atom, in the order they appear.